Material: VInAs2O8
Method: DFT, PBE+U
State: optimized geometry

Calculated values
Magnetization (μB/f.u.): 2.0
Total energy (eV/atom): -6.297

Lattice parameters (Å, degrees): 6.856 6.856 6.196 90.00 90.00 90.00
Space group I-4m2 (No. 119)
Inequivalent atoms, fractional coordinates:
V: 0.000 0.000 0.000 x2
In: 0.000 0.500 0.750 x2
As: 0.000 0.000 0.500 x2
As: 0.000 0.500 0.250 x2
O: 0.000 0.182 0.692 x8
O: 0.000 0.310 0.068 x8